[1]
# LaAlOs2O

A relaxed structure of LaAlOs2O (GGA-PBE, the Alexandria database).

Cell lengths 4.3302, 4.3302, 6.1029 Å; angles 90.00, 90.00, 90.00 degrees
Closest atoms and distances in Å follow each position.
Fractional coordinates of all 5 atoms:
La1 0.0000 0.0000 0.0000  2 Al 3.05, 4 O 3.06
Al1 0.0000 0.0000 0.5000  4 Os 2.17
Os1 0.0000 0.5000 0.5000  2 Al 2.17
Os2 0.5000 0.0000 0.5000  2 Al 2.17
O1 0.5000 0.5000 0.0000  4 La 3.06

SG = P4/mmm (123)
energy relative to the elements, uncorrected = 1.14 eV per atom

[2]
# LaAlPO2

A relaxed structure of LaAlPO2 (GGA-PBE, the Alexandria database).

Cell lengths 3.9808, 3.9808, 4.6709 Å; angles 90.00, 90.00, 90.00 degrees
Closest atoms and distances in Å follow each position.
Fractional coordinates of all 5 atoms:
La1 0.0000 0.0000 0.0000  4 P 2.81, 8 O 3.07
Al1 0.5000 0.5000 0.5000  4 O 1.99
P1 0.5000 0.5000 0.0000  2 Al 2.34
O1 0.0000 0.5000 0.5000  2 Al 1.99
O2 0.5000 0.0000 0.5000  2 Al 1.99

offset from the most stable computed form = 402 meV/atom
SG = P4/mmm (123)
energy relative to the elements, uncorrected = -1.77 eV per atom

[3]
# LaAlPO2

A relaxed structure of LaAlPO2 (GGA-PBE, the Alexandria database).

Cell lengths 6.6524, 6.6524, 5.2670 Å; angles 90.00, 90.00, 130.17 degrees
Closest atoms and distances in Å follow each position.
Fractional coordinates of all 10 atoms:
La1 0.1227 0.8773 0.7500  4 O 2.50
La2 0.8773 0.1227 0.2500  4 O 2.50
Al1 0.4797 0.5203 0.2500  4 O 1.85
Al2 0.5203 0.4797 0.7500  4 O 1.85
P1 0.2674 0.7326 0.2500  1 Al 2.56
P2 0.7326 0.2674 0.7500  1 Al 2.56
O1 0.2735 0.2735 0.0000  2 Al 1.85
O2 0.2735 0.2735 0.5000  2 Al 1.85
O3 0.7265 0.7265 0.0000  2 Al 1.85
O4 0.7265 0.7265 0.5000  2 Al 1.85

offset from the most stable computed form = 0 meV/atom
SG = Cmcm (63)
energy relative to the elements, uncorrected = -2.18 eV per atom

[4]
# La2AlPO

A relaxed structure of La2AlPO (GGA-PBE, the Alexandria database).

Cell lengths 5.1507, 5.1507, 3.9540 Å; angles 90.00, 90.00, 90.00 degrees
Closest atoms and distances in Å follow each position.
Fractional coordinates of all 5 atoms:
La1 0.0000 0.5000 0.0000  2 O 2.58
La2 0.5000 0.0000 0.0000  2 O 2.58
Al1 0.0000 0.0000 0.5000  2 O 1.98
P1 0.5000 0.5000 0.5000  8 La 3.25
O1 0.0000 0.0000 0.0000  2 Al 1.98

offset from the most stable computed form = 0 meV/atom
SG = P4/mmm (123)
energy relative to the elements, uncorrected = -1.38 eV per atom

[5]
# La2AlPO

A relaxed structure of La2AlPO (GGA-PBE, the Alexandria database).

Cell lengths 5.5720, 5.5720, 4.2954 Å; angles 90.00, 90.00, 90.00 degrees
Closest atoms and distances in Å follow each position.
Fractional coordinates of all 5 atoms:
La1 0.0000 0.5000 0.0000  2 Al 2.79
La2 0.5000 0.0000 0.0000  2 Al 2.79
Al1 0.0000 0.0000 0.0000  2 P 2.15
P1 0.0000 0.0000 0.5000  2 Al 2.15
O1 0.5000 0.5000 0.5000  8 La 3.52

offset from the most stable computed form = 1238 meV/atom
SG = P4/mmm (123)
energy relative to the elements, uncorrected = -0.14 eV per atom

[6]
# LaAlPO2

A relaxed structure of LaAlPO2 (GGA-PBE, the Alexandria database).

Cell lengths 4.1895, 4.1895, 6.4690 Å; angles 90.00, 90.00, 90.00 degrees
Closest atoms and distances in Å follow each position.
Fractional coordinates of all 5 atoms:
La1 0.0000 0.0000 0.0000  4 O 2.09
Al1 0.5000 0.5000 0.5000  4 P 2.96
P1 0.0000 0.0000 0.5000  4 Al 2.96, 2 La 3.23
O1 0.0000 0.5000 0.0000  2 La 2.09
O2 0.5000 0.0000 0.0000  2 La 2.09

offset from the most stable computed form = 1382 meV/atom
SG = P4/mmm (123)
energy relative to the elements, uncorrected = -0.79 eV per atom

[7]
# LaAlP2O

A relaxed structure of LaAlP2O (GGA-PBE, the Alexandria database).

Cell lengths 5.7252, 5.7252, 4.1791 Å; angles 90.00, 90.00, 90.00 degrees
Closest atoms and distances in Å follow each position.
Fractional coordinates of all 5 atoms:
La1 0.0000 0.0000 0.0000  2 O 2.09
Al1 0.5000 0.5000 0.5000  8 P 3.54
P1 0.0000 0.5000 0.0000  2 La 2.86
P2 0.5000 0.0000 0.0000  2 La 2.86
O1 0.0000 0.0000 0.5000  2 La 2.09

offset from the most stable computed form = 1126 meV/atom
SG = P4/mmm (123)
energy relative to the elements, uncorrected = 0.09 eV per atom

[8]
# LaAlP2O

A relaxed structure of LaAlP2O (GGA-PBE, the Alexandria database).

Cell lengths 5.1528, 5.1528, 3.4868 Å; angles 90.00, 90.00, 90.00 degrees
Closest atoms and distances in Å follow each position.
Fractional coordinates of all 5 atoms:
La1 0.0000 0.0000 0.0000  8 P 3.11
Al1 0.5000 0.5000 0.5000  2 O 1.74
P1 0.0000 0.5000 0.5000  2 Al 2.58
P2 0.5000 0.0000 0.5000  2 Al 2.58
O1 0.5000 0.5000 0.0000  2 Al 1.74

offset from the most stable computed form = 0 meV/atom
SG = P4/mmm (123)
energy relative to the elements, uncorrected = -1.03 eV per atom

[9]
# LaPaAlO6

A relaxed structure of LaPaAlO6 (GGA-PBE, the Alexandria database).

Cell lengths 5.4936, 5.4936, 4.7677 Å; angles 90.00, 90.00, 120.00 degrees
Closest atoms and distances in Å follow each position.
Fractional coordinates of all 9 atoms:
La1 0.0000 0.0000 0.0000  6 O 2.38
Pa1 0.6667 0.3333 0.5000  6 O 2.21
Al1 0.3333 0.6667 0.0000  6 O 1.97
O1 0.0213 0.3935 0.2344  1 Al 1.97
O2 0.0213 0.6278 0.7656  1 Al 1.97
O3 0.3722 0.3935 0.7656  1 Al 1.97
O4 0.3722 0.9787 0.2344  1 Al 1.97
O5 0.6065 0.6278 0.2344  1 Al 1.97
O6 0.6065 0.9787 0.7656  1 Al 1.97

SG = P312 (149)
energy relative to the elements, uncorrected = -2.95 eV per atom

[10]
# La3Al2PdO9

A relaxed structure of La3Al2PdO9 (GGA-PBE, the Alexandria database).

Cell lengths 5.4929, 5.4929, 6.7581 Å; angles 90.00, 90.00, 120.00 degrees
Closest atoms and distances in Å follow each position.
Fractional coordinates of all 15 atoms:
La1 0.0000 0.0000 0.0000  12 O 2.75
La2 0.3333 0.6667 0.6574  12 O 2.71-2.81
La3 0.6667 0.3333 0.3426  12 O 2.71-2.81
Al1 0.3333 0.6667 0.1513  6 O 1.89-1.90
Al2 0.6667 0.3333 0.8487  6 O 1.89-1.90
Pd1 0.0000 0.0000 0.5000  6 O 2.05
O1 0.0000 0.5000 0.0000  2 Al 1.89
O2 0.1755 0.3511 0.3240  1 Al 1.90, 1 Pd 2.05
O3 0.1755 0.8245 0.3240  1 Al 1.90, 1 Pd 2.05
O4 0.3511 0.1755 0.6760  1 Al 1.90, 1 Pd 2.05
O5 0.5000 0.0000 0.0000  2 Al 1.89
O6 0.5000 0.5000 0.0000  2 Al 1.89
O7 0.6489 0.8245 0.3240  1 Al 1.90, 1 Pd 2.05
O8 0.8245 0.1755 0.6760  1 Al 1.90, 1 Pd 2.05
O9 0.8245 0.6489 0.6760  1 Al 1.90, 1 Pd 2.05

SG = P-3m1 (164)
energy relative to the elements, uncorrected = -2.73 eV per atom

[11]
# La2AlPdO

A relaxed structure of La2AlPdO (GGA-PBE, the Alexandria database).

Cell lengths 5.6279, 5.6279, 4.5609 Å; angles 90.00, 90.00, 90.00 degrees
Closest atoms and distances in Å follow each position.
Fractional coordinates of all 5 atoms:
La1 0.0000 0.5000 0.0000  2 Pd 2.81
La2 0.5000 0.0000 0.0000  2 Pd 2.81
Al1 0.0000 0.0000 0.5000  2 Pd 2.28
Pd1 0.0000 0.0000 0.0000  2 Al 2.28
O1 0.5000 0.5000 0.5000  8 La 3.62, 4 Al 3.98

SG = P4/mmm (123)
energy relative to the elements, uncorrected = -0.32 eV per atom

no.,VASP energy (eV per formula unit)
1,-30.39
2,-32.86
3,-34.87
4,-30.86
5,-24.67
6,-27.96
7,-23.98
8,-29.60
9,-74.47
10,-113.01
11,-25.34